! Cs2Tl2CdAu4, relaxed, DFT GGA-PBE; values from VASP
! space-group type = C2/m, No. 12
! DOS at the Fermi energy = 2.26 states/eV per cell
! calculated total energy = -2.4744 eV/atom
&SYSTEM
  ibrav = 0, nat = 9, ntyp = 4
/
ATOMIC_SPECIES
Cs 132.91 Cs.upf
Tl 204.38 Tl.upf
Cd 112.41 Cd.upf
Au 196.97 Au.upf
CELL_PARAMETERS angstrom
6.519 -3.701 0.000
6.519 3.701 0.000
-3.334 0.000 6.154
ATOMIC_POSITIONS crystal
Cs 0.158 0.158 0.287
Cs 0.842 0.842 0.713
Tl 0.347 0.347 0.967
Tl 0.653 0.653 0.033
Cd 0.500 0.500 0.500
Au 0.078 0.702 0.272
Au 0.298 0.922 0.728
Au 0.702 0.078 0.272
Au 0.922 0.298 0.728